A.
The following is a DFT calculation (PBE) of crystalline LaCdHgAu at its relaxed geometry.

Output
crystal system: cubic
size of the total moment: 0.00 μB per formula unit

a b c (Å): 5.171 5.171 5.171
angles (deg): 60.00 60.00 60.00
Element x y z (fractional)
Au  0.750  0.750  0.750
Hg  0.250  0.250  0.250
La  0.500  0.500  0.500
Cd  0.000  0.000  0.000

B.
The following is a DFT calculation (PBE) of crystalline LaCdHgAu at its relaxed geometry.

Output
crystal system: cubic
size of the total moment: 0.00 μB per formula unit

a b c (Å): 5.163 5.163 5.163
angles (deg): 60.00 60.00 60.00
Element x y z (fractional)
La  0.500  0.500  0.500
Hg  0.000  0.000  0.000
Cd  0.250  0.250  0.250
Au  0.750  0.750  0.750

Out of the structures above, which one is the most stable? Solution: A.